Record 1
# KScBe, single point on PBEsol structure, DFT meta-GGA SCAN
# Total magnetization = 2.0 μB per formula unit
# ΔH_f (0 K) = 1302 meV per atom
data_KScBe
_space_group_name_H-M_alt 'F -4 3 m'
_space_group_IT_number 216
_space_group_name_Hall 'F -4 2 3'
_cell_length_a 6.880
_cell_length_b 6.880
_cell_length_c 6.880
_cell_angle_alpha 90.00
_cell_angle_beta 90.00
_cell_angle_gamma 90.00
loop_
_atom_site_label
_atom_site_type_symbol
_atom_site_fract_x
_atom_site_fract_y
_atom_site_fract_z
K1 K 0.000 0.000 0.000
Sc1 Sc 0.250 0.250 0.750
Be1 Be 0.000 0.000 0.500

=====

Record 2
# KScBe, single point on PBEsol structure, DFT meta-GGA SCAN
# Total magnetization = 0.1 μB per formula unit
# ΔH_f (0 K) = 972 meV per atom
data_KScBe
_space_group_name_H-M_alt 'P 3 m 1'
_space_group_IT_number 156
_space_group_name_Hall 'P 3 -2"'
_cell_length_a 5.1678
_cell_length_b 5.1678
_cell_length_c 2.8206
_cell_angle_alpha 90.00
_cell_angle_beta 90.00
_cell_angle_gamma 120.00
loop_
_atom_site_label
_atom_site_type_symbol
_atom_site_fract_x
_atom_site_fract_y
_atom_site_fract_z
K1 K 0.0000 0.0000 0.0000
Sc1 Sc 0.3333 0.6667 0.9917
Be1 Be 0.6667 0.3333 0.4946

=====

Record 3
# K3BeSe, single point on PBEsol structure, DFT meta-GGA SCAN
# Total magnetization = 0.9 μB per formula unit
# Formation energy (no corrections) = -0.09 eV/atom
data_K3BeSe
_space_group_name_H-M_alt 'P m -3 m'
_space_group_IT_number 221
_space_group_name_Hall '-P 4 2 3'
_cell_length_a 6.191
_cell_length_b 6.191
_cell_length_c 6.191
_cell_angle_alpha 90.00
_cell_angle_beta 90.00
_cell_angle_gamma 90.00
loop_
_atom_site_label
_atom_site_type_symbol
_atom_site_fract_x
_atom_site_fract_y
_atom_site_fract_z
K1 K 0.000 0.000 0.500
Be1 Be 0.500 0.500 0.500
Se1 Se 0.000 0.000 0.000

=====

Record 4
# K2BeSnSe, single point on PBEsol structure, DFT meta-GGA SCAN
# Total magnetization = 0.0 μB per formula unit
# Formation energy (no corrections) = 0.52 eV/atom
data_K2BeSnSe
_space_group_name_H-M_alt 'P 4/m m m'
_space_group_IT_number 123
_space_group_name_Hall '-P 4 2'
_cell_length_a 6.634
_cell_length_b 6.634
_cell_length_c 5.333
_cell_angle_alpha 90.00
_cell_angle_beta 90.00
_cell_angle_gamma 90.00
loop_
_atom_site_label
_atom_site_type_symbol
_atom_site_fract_x
_atom_site_fract_y
_atom_site_fract_z
K1 K 0.000 0.500 0.000
Be1 Be 0.000 0.000 0.500
Sn1 Sn 0.500 0.500 0.000
Se1 Se 0.500 0.500 0.500

=====

Record 5
# KBe2Si, single point on PBEsol structure, DFT meta-GGA SCAN
# Total magnetization = 0.2 μB per formula unit
# Formation energy (no corrections) = 0.55 eV/atom
data_KBe2Si
_space_group_name_H-M_alt 'P 4 m m'
_space_group_IT_number 99
_space_group_name_Hall 'P 4 -2'
_cell_length_a 2.912
_cell_length_b 2.912
_cell_length_c 7.445
_cell_angle_alpha 90.00
_cell_angle_beta 90.00
_cell_angle_gamma 90.00
loop_
_atom_site_label
_atom_site_type_symbol
_atom_site_fract_x
_atom_site_fract_y
_atom_site_fract_z
K1 K 0.000 0.000 0.000
Be1 Be 0.000 0.000 0.462
Be2 Be 0.500 0.500 0.348
Si1 Si 0.500 0.500 0.654

=====

Record 6
# KBe2Si, single point on PBEsol structure, DFT meta-GGA SCAN
# Total magnetization = 0.1 μB per formula unit
# Formation energy (no corrections) = 1.25 eV/atom
data_KBe2Si
_space_group_name_H-M_alt 'C m m m'
_space_group_IT_number 65
_space_group_name_Hall '-C 2 2'
_cell_length_a 6.143
_cell_length_b 8.224
_cell_length_c 2.628
_cell_angle_alpha 90.00
_cell_angle_beta 90.00
_cell_angle_gamma 90.00
loop_
_atom_site_label
_atom_site_type_symbol
_atom_site_fract_x
_atom_site_fract_y
_atom_site_fract_z
K1 K 0.000 0.000 0.000
Be1 Be 0.250 0.250 0.500
Si1 Si 0.000 0.500 0.000